1.
## Ac5ThTl4 (PBE)

Data for a geometry-optimized Ac5ThTl4 structure.

- V: 356 Å³ per cell
- Space group: P4/mmm
- DFT total energy: -3.992 eV per atom
- ΔH_f (0 K): -2.49 eV per formula unit

Lattice parameters (Å, degrees): 3.8759 3.8759 23.6825 90.00 90.00 90.00
Closest atoms and distances in Å follow each position.
Element x y z (fractional)
Ac: 0.0000 0.0000 0.0000  8 Tl 3.59, 4 Ac 3.88
Ac: 0.0000 0.0000 0.1956  8 Tl 3.58-3.59, 4 Ac 3.88
Ac: 0.0000 0.0000 0.3914  4 Tl 3.60, 4 Th 3.76, 4 Ac 3.88
Ac: 0.0000 0.0000 0.6086  4 Tl 3.60, 4 Th 3.76, 4 Ac 3.88
Ac: 0.0000 0.0000 0.8044  8 Tl 3.58-3.59, 4 Ac 3.88
Th: 0.5000 0.5000 0.5000  8 Ac 3.76, 4 Th 3.88
Tl: 0.5000 0.5000 0.0979  8 Ac 3.59, 4 Tl 3.88
Tl: 0.5000 0.5000 0.2925  8 Ac 3.58-3.60, 4 Tl 3.88
Tl: 0.5000 0.5000 0.7075  8 Ac 3.58-3.60, 4 Tl 3.88
Tl: 0.5000 0.5000 0.9021  8 Ac 3.59, 4 Tl 3.88



2.
## TcSbBr2 (PBE)

Data for a geometry-optimized TcSbBr2 structure.

- ΔE_f (raw): 48 kJ/mol of formula units
- Energy relative to the lowest polymorph listed for this composition: 0.46 eV per formula unit
- V: 113 Å³ per cell
- Space group: C2/m
- DFT total energy: -4.333 eV per atom

Lattice parameters (Å, degrees): 8.0274 8.0274 4.7130 106.71 106.71 22.98
Closest atoms and distances in Å follow each position.
Element x y z (fractional)
Tc: 0.0000 0.0000 0.0000  4 Br 2.67, 4 Sb 2.85
Sb: 0.5000 0.5000 0.5000  4 Tc 2.85, 4 Br 3.18
Br: 0.3579 0.3579 0.8610  2 Tc 2.67
Br: 0.6421 0.6421 0.1390  2 Tc 2.67



3.
## AcZn2Pd8 (PBE)

Data for a geometry-optimized AcZn2Pd8 structure.

- V: 237 Å³ per cell
- Space group: P4/mmm
- DFT total energy: -4.460 eV per atom
- ΔH_f (0 K): -0.86 eV per formula unit

Lattice parameters (Å, degrees): 5.3727 5.3727 8.2263 90.00 90.00 90.00
Closest atoms and distances in Å follow each position.
Element x y z (fractional)
Ac: 0.0000 0.0000 0.0000  8 Pd 3.02
Zn: 0.0000 0.5000 0.5000  8 Pd 2.60
Zn: 0.5000 0.0000 0.5000  8 Pd 2.60
Pd: 0.2527 0.2527 0.2839  2 Zn 2.60, 4 Pd 2.66-2.72
Pd: 0.2527 0.2527 0.7161  2 Zn 2.60, 4 Pd 2.66-2.72
Pd: 0.2527 0.7473 0.2839  2 Zn 2.60, 4 Pd 2.66-2.72
Pd: 0.2527 0.7473 0.7161  2 Zn 2.60, 4 Pd 2.66-2.72
Pd: 0.7473 0.2527 0.2839  2 Zn 2.60, 4 Pd 2.66-2.72
Pd: 0.7473 0.2527 0.7161  2 Zn 2.60, 4 Pd 2.66-2.72
Pd: 0.7473 0.7473 0.2839  2 Zn 2.60, 4 Pd 2.66-2.72
Pd: 0.7473 0.7473 0.7161  2 Zn 2.60, 4 Pd 2.66-2.72



Number 1: calculated density 10.20 g cm⁻³. Number 2: calculated density 5.56 g cm⁻³. Number 3: calculated density 8.46 g cm⁻³.